Density functional theory data (PBE+U) for a relaxed ZrMo2O crystal.

Lattice parameters (Å, degrees): 5.716 5.716 5.716 99.24 99.24 132.75
Positions (direct):
Zr (0.000, 0.000, 0.000)
Zr (0.750, 0.250, 0.500)
Mo (0.237, 0.625, 0.112)
Mo (0.375, 0.487, 0.612)
Mo (0.513, 0.125, 0.888)
Mo (0.875, 0.763, 0.388)
O (0.250, 0.750, 0.500)
O (0.500, 0.500, 0.000)

**Final energy**: -26.91 eV per formula unit
**SG**: I-42d